Entry 1:
Compound: ThPaAg
Source: Alexandria
Functional: PBE
Structure: optimized geometry

a b c (Å): 5.1521 5.1521 3.2950
angles (deg): 90.00 90.00 120.00
Positions (direct):
Th 0.0000 0.0000 0.0000
Pa 0.3333 0.6667 0.3827
Ag 0.6667 0.3333 0.6652

## Properties
* crystal system: trigonal
* relative energy among the computed polymorphs: 136 meV per atom
* energy of formation: 0.29 eV per atom

Entry 2:
Compound: CaZn3Ga3
Source: Alexandria
Functional: PBE
Structure: optimized geometry

a b c (Å): 8.4545 8.4545 8.4545
angles (deg): 60.00 60.00 60.00
Positions (direct):
Ca 0.2500 0.2500 0.2500
Ca 0.7500 0.7500 0.7500
Zn 0.1509 0.1509 0.8491
Zn 0.1509 0.8491 0.1509
Zn 0.1509 0.8491 0.8491
Zn 0.8491 0.1509 0.1509
Zn 0.8491 0.1509 0.8491
Zn 0.8491 0.8491 0.1509
Ga 0.3449 0.3449 0.6551
Ga 0.3449 0.6551 0.3449
Ga 0.3449 0.6551 0.6551
Ga 0.6551 0.3449 0.3449
Ga 0.6551 0.3449 0.6551
Ga 0.6551 0.6551 0.3449

## Properties
* crystal system: cubic
* relative energy among the computed polymorphs: 203 meV per atom
* energy of formation: 0.30 eV per atom

Entry 3:
Compound: ZnFeCuGe
Source: Alexandria
Functional: PBE
Structure: optimized geometry

a b c (Å): 5.9486 5.9486 5.9486
angles (deg): 90.00 90.00 90.00
Positions (direct):
Zn 0.0000 0.0000 0.0000
Zn 0.0000 0.5000 0.5000
Zn 0.5000 0.0000 0.5000
Zn 0.5000 0.5000 0.0000
Fe 0.2500 0.2500 0.2500
Fe 0.2500 0.7500 0.7500
Fe 0.7500 0.2500 0.7500
Fe 0.7500 0.7500 0.2500
Cu 0.2500 0.2500 0.7500
Cu 0.2500 0.7500 0.2500
Cu 0.7500 0.2500 0.2500
Cu 0.7500 0.7500 0.7500
Ge 0.0000 0.0000 0.5000
Ge 0.0000 0.5000 0.0000
Ge 0.5000 0.0000 0.0000
Ge 0.5000 0.5000 0.5000

## Properties
* crystal system: cubic
* energy of formation: 0.11 eV per atom

Entry 4:
Compound: Cs3Na2TbBr9
Source: Alexandria
Functional: PBE
Structure: optimized geometry

a b c (Å): 8.0361 8.0361 10.2851
angles (deg): 90.00 90.00 120.00
Positions (direct):
Cs 0.0000 0.0000 0.0000
Cs 0.3333 0.6667 0.6747
Cs 0.6667 0.3333 0.3253
Na 0.3333 0.6667 0.1707
Na 0.6667 0.3333 0.8293
Tb 0.0000 0.0000 0.5000
Br 0.0000 0.5000 0.0000
Br 0.1638 0.3276 0.3416
Br 0.1638 0.8362 0.3416
Br 0.3276 0.1638 0.6584
Br 0.5000 0.0000 0.0000
Br 0.5000 0.5000 0.0000
Br 0.6724 0.8362 0.3416
Br 0.8362 0.1638 0.6584
Br 0.8362 0.6724 0.6584

## Properties
* crystal system: trigonal
* formation energy without anion corrections: -1.615 eV/atom

Entry 5:
Compound: CeY4P5
Source: Alexandria
Functional: PBE
Structure: optimized geometry

a b c (Å): 6.9703 6.9703 6.9703
angles (deg): 99.60 99.60 131.78
Positions (direct):
Ce 0.0000 0.0000 0.0000
Y 0.1988 0.3997 0.5985
Y 0.3997 0.8012 0.2009
Y 0.6003 0.1988 0.7991
Y 0.8012 0.6003 0.4015
P 0.0992 0.7006 0.7999
P 0.2994 0.0992 0.3986
P 0.5000 0.5000 0.0000
P 0.7006 0.9008 0.6014
P 0.9008 0.2994 0.2001

## Properties
* crystal system: tetragonal
* energy of formation: -1.61 eV per atom

Entry 6:
Compound: CsRb3Be
Source: Alexandria
Functional: PBE
Structure: optimized geometry

a b c (Å): 7.1852 7.1852 7.1852
angles (deg): 90.00 90.00 90.00
Positions (direct):
Cs 0.0000 0.0000 0.0000
Rb 0.0000 0.5000 0.5000
Rb 0.5000 0.0000 0.5000
Rb 0.5000 0.5000 0.0000
Be 0.5000 0.5000 0.5000

## Properties
* crystal system: cubic
* relative energy among the computed polymorphs: 0 meV per atom
* energy of formation: 0.49 eV per atom

Entry 7:
Compound: Fe6Ir12Rh
Source: Alexandria
Functional: PBE
Structure: optimized geometry

a b c (Å): 6.4364 6.4364 6.4364
angles (deg): 88.25 88.25 88.25
Positions (direct):
Fe 0.2260 0.6120 0.7658
Fe 0.2342 0.7740 0.3880
Fe 0.3880 0.2342 0.7740
Fe 0.6120 0.7658 0.2260
Fe 0.7658 0.2260 0.6120
Fe 0.7740 0.3880 0.2342
Ir 0.0288 0.2978 0.9408
Ir 0.0592 0.9712 0.7022
Ir 0.1279 0.3353 0.4804
Ir 0.2978 0.9408 0.0288
Ir 0.3353 0.4804 0.1279
Ir 0.4804 0.1279 0.3353
Ir 0.5196 0.8721 0.6647
Ir 0.6647 0.5196 0.8721
Ir 0.7022 0.0592 0.9712
Ir 0.8721 0.6647 0.5196
Ir 0.9408 0.0288 0.2978
Ir 0.9712 0.7022 0.0592
Rh 0.5000 0.5000 0.5000

## Properties
* crystal system: trigonal
* energy of formation: 0.13 eV per atom

Entry 8:
Compound: ZnTeSeN2
Source: Alexandria
Functional: PBE
Structure: optimized geometry

a b c (Å): 3.7928 3.7928 7.6088
angles (deg): 90.00 90.00 90.00
Positions (direct):
Zn 0.0000 0.0000 0.0000
Te 0.5000 0.5000 0.0000
Se 0.5000 0.5000 0.5000
N 0.0000 0.5000 0.5000
N 0.5000 0.0000 0.5000

## Properties
* crystal system: tetragonal
* relative energy among the computed polymorphs: 201 meV per atom
* formation energy without anion corrections: 1.402 eV/atom

Entry 9:
Compound: K2SrNp3S8
Source: Alexandria
Functional: PBE
Structure: optimized geometry

a b c (Å): 8.7128 8.7128 8.7128
angles (deg): 56.35 56.35 56.35
Positions (direct):
K 0.0000 0.0000 0.0000
K 0.3695 0.3695 0.3695
Sr 0.7484 0.7484 0.7484
Np 0.3697 0.3697 0.8731
Np 0.3697 0.8731 0.3697
Np 0.8731 0.3697 0.3697
S 0.1162 0.1162 0.5650
S 0.1162 0.5650 0.1162
S 0.1405 0.1405 0.1405
S 0.1674 0.6243 0.6243
S 0.5650 0.1162 0.1162
S 0.6060 0.6060 0.6060
S 0.6243 0.1674 0.6243
S 0.6243 0.6243 0.1674

## Properties
* crystal system: trigonal
* formation energy without anion corrections: -1.380 eV/atom

Entry 10:
Compound: La3PtAu2
Source: Alexandria
Functional: PBE
Structure: optimized geometry

a b c (Å): 4.2622 6.1390 13.4598
angles (deg): 90.00 90.00 90.00
Positions (direct):
La 0.0000 0.0000 0.0000
La 0.0000 0.0000 0.3468
La 0.0000 0.0000 0.6532
La 0.5000 0.5000 0.1532
La 0.5000 0.5000 0.5000
La 0.5000 0.5000 0.8468
Pt 0.0000 0.5000 0.0000
Pt 0.5000 0.0000 0.5000
Au 0.0000 0.5000 0.3282
Au 0.0000 0.5000 0.6718
Au 0.5000 0.0000 0.1718
Au 0.5000 0.0000 0.8282

## Properties
* crystal system: orthorhombic
* energy of formation: -0.89 eV per atom

Entry 11:
Compound: ZnAgRu2
Source: Alexandria
Functional: PBE
Structure: optimized geometry

a b c (Å): 7.2615 7.2615 4.9640
angles (deg): 90.00 90.00 90.00
Positions (direct):
Zn 0.0000 0.0000 0.0000
Zn 0.0000 0.5000 0.2500
Zn 0.5000 0.0000 0.7500
Zn 0.5000 0.5000 0.5000
Ag 0.0000 0.0000 0.5000
Ag 0.0000 0.5000 0.7500
Ag 0.5000 0.0000 0.2500
Ag 0.5000 0.5000 0.0000
Ru 0.2208 0.2500 0.1250
Ru 0.2500 0.7208 0.3750
Ru 0.2500 0.7792 0.8750
Ru 0.2792 0.2500 0.6250
Ru 0.7208 0.7500 0.6250
Ru 0.7500 0.2208 0.8750
Ru 0.7500 0.2792 0.3750
Ru 0.7792 0.7500 0.1250

## Properties
* crystal system: tetragonal
* energy of formation: 0.80 eV per atom

Entry 12:
Compound: AsOsS2Cl
Source: Alexandria
Functional: PBE
Structure: optimized geometry

a b c (Å): 4.8352 4.8352 4.7066
angles (deg): 90.00 90.00 90.00
Positions (direct):
As 0.0000 0.0000 0.0000
Os 0.5000 0.5000 0.5000
S 0.0000 0.5000 0.0000
S 0.5000 0.0000 0.0000
Cl 0.0000 0.0000 0.5000

## Properties
* crystal system: tetragonal
* relative energy among the computed polymorphs: 769 meV per atom
* formation energy without anion corrections: 1.386 eV/atom